{"formula": "Pr4Te3N2", "functional": "PBE", "state": "relaxed", "final_energy_ev_per_atom": -6.4757, "magnetic_moment_mub_per_cell": 0.0, "space_group": "C2/m", "de_polymorph_mev_per_atom": 39, "crystal_system": "monoclinic", "cell": [[7.2087, -2.1289, 0.0000], [7.2087, 2.1289, 0.0000], [-6.2566, 0.0000, 8.5253]], "species": ["Pr", "Pr", "Pr", "Pr", "Te", "Te", "Te", "N", "N"], "frac_coords": [[0.1233, 0.1233, 0.3842], [0.2966, 0.2966, 0.8503], [0.7034, 0.7034, 0.1497], [0.8767, 0.8767, 0.6158], [0.0000, 0.0000, 0.0000], [0.3963, 0.3963, 0.2507], [0.6037, 0.6037, 0.7493], [0.2967, 0.2967, 0.6366], [0.7033, 0.7033, 0.3634]]}